Entry 1:
An optimized crystal structure of AcPm4S7, computed with PBE.

Crystal system: monoclinic
Uncorrected energy (eV per atom): -6.381
Fermi-level density of states (states/eV per atom): 0.13
Raw formation energy (meV per atom): -2048
SG: Cm, No. 8
Mass density (Mg/m³): 5.48

Cell: 7.053 7.053 12.029 Å, 104.16 104.16 32.68°
Atoms (fractional coordinates):
Ac 0.000 0.000 0.000
Pm 0.113 0.113 0.422
Pm 0.223 0.223 0.831
Pm 0.411 0.411 0.604
Pm 0.813 0.813 0.238
S 0.065 0.065 0.632
S 0.160 0.160 0.212
S 0.360 0.360 0.068
S 0.455 0.455 0.369
S 0.615 0.615 0.909
S 0.771 0.771 0.470
S 0.849 0.849 0.763


Entry 2:
An optimized crystal structure of Ac3Pm5S12, computed with PBE.

Crystal system: cubic
Uncorrected energy (eV per atom): -6.267
Fermi-level density of states (states/eV per atom): 0.00
Raw formation energy (meV per atom): -1986
SG: Ia-3d, No. 230
Mass density (Mg/m³): 4.97

Cell: 14.599 14.599 14.599 Å, 109.47 109.47 109.47°
Atoms (fractional coordinates):
Ac 0.125 0.250 0.375
Ac 0.125 0.375 0.750
Ac 0.250 0.375 0.125
Ac 0.250 0.875 0.625
Ac 0.375 0.125 0.250
Ac 0.375 0.750 0.125
Ac 0.625 0.250 0.875
Ac 0.625 0.875 0.750
Ac 0.750 0.125 0.375
Ac 0.750 0.625 0.875
Ac 0.875 0.625 0.250
Ac 0.875 0.750 0.625
Pm 0.000 0.000 0.000
Pm 0.000 0.000 0.500
Pm 0.000 0.500 0.000
Pm 0.000 0.500 0.500
Pm 0.125 0.750 0.875
Pm 0.125 0.875 0.250
Pm 0.250 0.125 0.875
Pm 0.250 0.625 0.375
Pm 0.375 0.250 0.625
Pm 0.375 0.625 0.750
Pm 0.500 0.000 0.000
Pm 0.500 0.000 0.500
Pm 0.500 0.500 0.000
Pm 0.500 0.500 0.500
Pm 0.625 0.375 0.250
Pm 0.625 0.750 0.375
Pm 0.750 0.375 0.625
Pm 0.750 0.875 0.125
Pm 0.875 0.125 0.750
Pm 0.875 0.250 0.125
S 0.044 0.218 0.130
S 0.044 0.326 0.914
S 0.086 0.630 0.412
S 0.086 0.956 0.674
S 0.088 0.718 0.674
S 0.088 0.870 0.414
S 0.130 0.044 0.218
S 0.130 0.586 0.912
S 0.174 0.218 0.588
S 0.174 0.456 0.586
S 0.218 0.130 0.044
S 0.218 0.588 0.174
S 0.282 0.326 0.912
S 0.282 0.456 0.370
S 0.326 0.912 0.282
S 0.326 0.914 0.044
S 0.370 0.282 0.456
S 0.370 0.588 0.914
S 0.412 0.086 0.630
S 0.412 0.826 0.782
S 0.414 0.088 0.870
S 0.414 0.826 0.544
S 0.456 0.370 0.282
S 0.456 0.586 0.174
S 0.544 0.414 0.826
S 0.544 0.630 0.718
S 0.586 0.174 0.456
S 0.586 0.912 0.130
S 0.588 0.174 0.218
S 0.588 0.914 0.370
S 0.630 0.412 0.086
S 0.630 0.718 0.544
S 0.674 0.086 0.956
S 0.674 0.088 0.718
S 0.718 0.544 0.630
S 0.718 0.674 0.088
S 0.782 0.412 0.826
S 0.782 0.870 0.956
S 0.826 0.544 0.414
S 0.826 0.782 0.412
S 0.870 0.414 0.088
S 0.870 0.956 0.782
S 0.912 0.130 0.586
S 0.912 0.282 0.326
S 0.914 0.044 0.326
S 0.914 0.370 0.588
S 0.956 0.674 0.086
S 0.956 0.782 0.870


Entry 3:
An optimized crystal structure of Ac5Pm3S8, computed with PBE.

Crystal system: trigonal
Uncorrected energy (eV per atom): -6.240
Fermi-level density of states (states/eV per atom): 0.47
Raw formation energy (meV per atom): -2001
SG: R-3m, No. 166
Mass density (Mg/m³): 7.20

Cell: 8.424 8.424 8.424 Å, 59.82 59.82 59.82°
Atoms (fractional coordinates):
Ac 0.000 0.000 0.000
Ac 0.000 0.500 0.500
Ac 0.500 0.000 0.500
Ac 0.500 0.500 0.000
Ac 0.500 0.500 0.500
Pm 0.000 0.000 0.500
Pm 0.000 0.500 0.000
Pm 0.500 0.000 0.000
S 0.237 0.750 0.750
S 0.244 0.244 0.244
S 0.250 0.250 0.763
S 0.250 0.763 0.250
S 0.750 0.237 0.750
S 0.750 0.750 0.237
S 0.756 0.756 0.756
S 0.763 0.250 0.250


Entry 4:
An optimized crystal structure of AcPmS3, computed with PBE.

Crystal system: orthorhombic
Uncorrected energy (eV per atom): -6.356
Raw formation energy (meV per atom): -2107
SG: Pmmn, No. 59
Mass density (Mg/m³): 5.95

Cell: 4.197 6.886 9.042 Å, 90.00 90.00 90.00°
Atoms (fractional coordinates):
Ac 0.250 0.250 0.147
Ac 0.750 0.750 0.853
Pm 0.250 0.750 0.402
Pm 0.750 0.250 0.598
S 0.250 0.517 0.663
S 0.250 0.750 0.075
S 0.250 0.983 0.663
S 0.750 0.017 0.337
S 0.750 0.250 0.925
S 0.750 0.483 0.337


Entry 5:
An optimized crystal structure of Ac4PmS6, computed with PBE.

Crystal system: trigonal
Uncorrected energy (eV per atom): -6.147
Fermi-level density of states (states/eV per atom): 0.46
Raw formation energy (meV per atom): -1969
SG: R-3c, No. 167
Mass density (Mg/m³): 6.97

Cell: 8.404 8.404 8.404 Å, 90.47 90.47 90.47°
Atoms (fractional coordinates):
Ac 0.126 0.750 0.374
Ac 0.250 0.250 0.250
Ac 0.250 0.626 0.874
Ac 0.374 0.126 0.750
Ac 0.626 0.874 0.250
Ac 0.750 0.374 0.126
Ac 0.750 0.750 0.750
Ac 0.874 0.250 0.626
Pm 0.000 0.000 0.000
Pm 0.500 0.500 0.500
S 0.062 0.915 0.688
S 0.085 0.312 0.938
S 0.188 0.415 0.562
S 0.312 0.938 0.085
S 0.415 0.562 0.188
S 0.438 0.812 0.585
S 0.562 0.188 0.415
S 0.585 0.438 0.812
S 0.688 0.062 0.915
S 0.812 0.585 0.438
S 0.915 0.688 0.062
S 0.938 0.085 0.312


Entry 6:
An optimized crystal structure of AcPmS, computed with PBE.

Crystal system: monoclinic
Uncorrected energy (eV per atom): -5.345
Fermi-level density of states (states/eV per atom): 1.02
Raw formation energy (meV per atom): -1016
SG: C2/m, No. 12
Mass density (Mg/m³): 6.34

Cell: 7.637 7.637 7.301 Å, 101.44 101.44 30.52°
Atoms (fractional coordinates):
Ac 0.194 0.194 0.223
Ac 0.806 0.806 0.777
Pm 0.461 0.461 0.225
Pm 0.539 0.539 0.775
S 0.370 0.370 0.518
S 0.630 0.630 0.482